Here is a relaxed AgPdBr5 crystal from the Alexandria database. Energies are from PBE-GGA.

Results
- SG: C2/c, No. 15
- Calculated volume: 30.94 Å³/atom
- E_form (uncorrected): -214.5 meV/atom
- DFT total energy: -35.819 eV/cell

Cell: 6.9694 6.9694 9.8315 Å, 107.66 107.66 87.10°
Element x y z (fractional)
Br: 0.7592 0.7408 0.7500
Br: 0.8365 0.8828 0.1564
Br: 0.7760 0.2593 0.4950
Br: 0.2240 0.7407 0.5050
Br: 0.7593 0.2760 0.9950
Ag: 0.0417 0.4583 0.7500
Br: 0.2407 0.7240 0.0050
Br: 0.2408 0.2592 0.2500
Ag: 0.9583 0.5417 0.2500
Br: 0.1635 0.1172 0.8436
Pd: 0.5000 0.5000 0.5000
Br: 0.3828 0.3365 0.6564
Pd: 0.0000 0.0000 0.0000
Br: 0.6172 0.6635 0.3436